Tc3Ru4 | PBE | relaxed

Properties
**Density**: 11.36 g/cm3
**Size of the total moment**: 0.304 μB/atom
**SG**: I4/mmm
**Fermi-level density of states**: 10.1 states/eV/f.u.
**Formation enthalpy at 0 K**: 0.404 eV/atom
**Excess energy over the best structure of this formula in the dataset**: 142 meV per atom
**Calculated volume**: 14.577 A^3/atom

a b c (Å): 10.0508 10.0508 10.0508
angles (deg): 161.51 161.51 26.26
With the nearest neighbours (Å) after each atom.
Atoms (fractional coordinates):
Tc: 0.0000 0.0000 0.0000  10 Ru 2.67-2.82
Tc: 0.2883 0.2883 0.0000  6 Ru 2.64-2.82, 4 Tc 2.73
Tc: 0.7117 0.7117 0.0000  6 Ru 2.64-2.82, 4 Tc 2.73
Ru: 0.1442 0.1442 0.0000  6 Tc 2.64-2.82, 4 Ru 2.70
Ru: 0.4294 0.4294 0.0000  5 Tc 2.67-2.76, 5 Ru 2.70-2.76
Ru: 0.5706 0.5706 0.0000  5 Tc 2.67-2.76, 5 Ru 2.70-2.76
Ru: 0.8558 0.8558 0.0000  6 Tc 2.64-2.82, 4 Ru 2.70

***

TcRu3 | PBE | relaxed

Properties
**Density**: 11.88 g/cm3
**Size of the total moment**: 0.000 μB/atom
**SG**: Pmmn
**Fermi-level density of states**: 3.7 states/eV/f.u.
**Formation enthalpy at 0 K**: -0.052 eV/atom
**Calculated volume**: 14.023 A^3/atom

a b c (Å): 4.3297 5.4752 4.7325
angles (deg): 90.00 90.00 90.00
With the nearest neighbours (Å) after each atom.
Atoms (fractional coordinates):
Tc: 0.2500 0.2500 0.1653  12 Ru 2.67-2.74
Tc: 0.7500 0.7500 0.8347  12 Ru 2.67-2.74
Ru: 0.2500 0.0002 0.6679  8 Ru 2.68-2.74, 4 Tc 2.68-2.74
Ru: 0.2500 0.4998 0.6679  8 Ru 2.68-2.74, 4 Tc 2.68-2.74
Ru: 0.2500 0.7500 0.1655  4 Tc 2.67-2.74, 8 Ru 2.68-2.74
Ru: 0.7500 0.9998 0.3321  8 Ru 2.68-2.74, 4 Tc 2.68-2.74
Ru: 0.7500 0.2500 0.8345  4 Tc 2.67-2.74, 8 Ru 2.68-2.74
Ru: 0.7500 0.5002 0.3321  8 Ru 2.68-2.74, 4 Tc 2.68-2.74